[1]
A plane-wave DFT calculation with PBE-GGA was carried out for an optimized crystal structure of Tb2SnIr.

```
data_Tb2SnIr
_cell_length_a 3.982
_cell_length_b 6.250
_cell_length_c 8.839
_cell_angle_alpha 112.84
_cell_angle_beta 90.00
_cell_angle_gamma 90.00
_space_group_name_H-M_alt 'P 1'
_space_group_IT_number 1
loop_
_space_group_symop_operation_xyz
'x,y,z'
loop_
_atom_site_label
_atom_site_fract_x
_atom_site_fract_y
_atom_site_fract_z
Tb1 0.250 0.794 0.046
Tb2 0.750 0.225 0.392
Sn1 0.750 0.674 0.297
Ir1 0.750 0.679 0.797
Ir2 0.250 0.321 0.203
Tb3 0.250 0.775 0.608
Tb4 0.750 0.206 0.954
Sn2 0.250 0.326 0.703
```

[2]
A plane-wave DFT calculation with PBE-GGA was carried out for an optimized crystal structure of Tb2SnIr.

```
data_Tb2SnIr
_cell_length_a 5.111
_cell_length_b 5.111
_cell_length_c 5.111
_cell_angle_alpha 60.00
_cell_angle_beta 60.00
_cell_angle_gamma 60.00
_space_group_name_H-M_alt 'P 1'
_space_group_IT_number 1
loop_
_space_group_symop_operation_xyz
'x,y,z'
loop_
_atom_site_label
_atom_site_fract_x
_atom_site_fract_y
_atom_site_fract_z
Ir1 0.000 0.000 0.000
Tb1 0.250 0.250 0.250
Tb2 0.750 0.750 0.750
Sn1 0.500 0.500 0.500
```

[3]
A plane-wave DFT calculation with PBE-GGA was carried out for an optimized crystal structure of TbSn2Ir2.

```
data_TbSn2Ir2
_cell_length_a 4.469
_cell_length_b 4.659
_cell_length_c 10.693
_cell_angle_alpha 98.55
_cell_angle_beta 90.00
_cell_angle_gamma 90.00
_space_group_name_H-M_alt 'P 1'
_space_group_IT_number 1
loop_
_space_group_symop_operation_xyz
'x,y,z'
loop_
_atom_site_label
_atom_site_fract_x
_atom_site_fract_y
_atom_site_fract_z
Tb1 0.750 0.338 0.736
Ir1 0.750 0.628 0.992
Ir2 0.250 0.372 0.008
Sn1 0.750 0.749 0.497
Ir3 0.750 0.205 0.365
Sn2 0.250 0.845 0.879
Sn3 0.750 0.155 0.121
Tb2 0.250 0.662 0.264
Sn4 0.250 0.251 0.503
Ir4 0.250 0.795 0.635
```

[4]
A plane-wave DFT calculation with PBE-GGA was carried out for an optimized crystal structure of TbSnIr2.

```
data_TbSnIr2
_cell_length_a 3.791
_cell_length_b 4.445
_cell_length_c 4.445
_cell_angle_alpha 90.00
_cell_angle_beta 90.00
_cell_angle_gamma 90.00
_space_group_name_H-M_alt 'P 1'
_space_group_IT_number 1
loop_
_space_group_symop_operation_xyz
'x,y,z'
loop_
_atom_site_label
_atom_site_fract_x
_atom_site_fract_y
_atom_site_fract_z
Tb1 0.500 0.500 0.500
Ir1 0.000 0.000 0.500
Sn1 0.500 0.000 0.000
Ir2 0.000 0.500 0.000
```

[5]
A plane-wave DFT calculation with PBE-GGA was carried out for an optimized crystal structure of TbSn6Ir.

```
data_TbSn6Ir
_cell_length_a 6.954
_cell_length_b 6.438
_cell_length_c 6.324
_cell_angle_alpha 59.40
_cell_angle_beta 74.34
_cell_angle_gamma 57.97
_space_group_name_H-M_alt 'P 1'
_space_group_IT_number 1
loop_
_space_group_symop_operation_xyz
'x,y,z'
loop_
_atom_site_label
_atom_site_fract_x
_atom_site_fract_y
_atom_site_fract_z
Sn1 0.282 0.267 0.000
Sn2 0.252 0.863 0.551
Tb1 0.000 0.000 0.000
Sn3 0.252 0.414 0.449
Sn4 0.748 0.586 0.551
Sn5 0.718 0.733 0.000
Sn6 0.748 0.137 0.449
Ir1 0.500 0.500 0.000
```

[6]
A plane-wave DFT calculation with PBE-GGA was carried out for an optimized crystal structure of Tb4SnIr2.

```
data_Tb4SnIr2
_cell_length_a 4.671
_cell_length_b 4.671
_cell_length_c 10.146
_cell_angle_alpha 76.69
_cell_angle_beta 76.69
_cell_angle_gamma 60.00
_space_group_name_H-M_alt 'P 1'
_space_group_IT_number 1
loop_
_space_group_symop_operation_xyz
'x,y,z'
loop_
_atom_site_label
_atom_site_fract_x
_atom_site_fract_y
_atom_site_fract_z
Tb1 0.387 0.387 0.838
Tb2 0.613 0.613 0.162
Tb3 0.201 0.201 0.396
Ir1 0.902 0.902 0.295
Sn1 0.000 0.000 0.000
Ir2 0.098 0.098 0.705
Tb4 0.799 0.799 0.604
```

| no. | ΔH_f (0 K) (meV per atom) | total energy (eV per atom) |
| --- | --- | --- |
| 1 | -794 | -6.325 |
| 2 | -592 | -6.123 |
| 3 | -498 | -6.569 |
| 4 | -521 | -7.110 |
| 5 | -156 | -4.844 |
| 6 | -691 | -6.441 |